No. 1
A plane-wave DFT calculation with GGA-PBE was carried out for Nd3Sb2H after structural relaxation.

```
Nd3Sb2H
1.0
6.7213 -3.1476 0.0000
6.7213 3.1476 0.0000
-2.8665 0.0000 8.3389
Nd Sb H
6 4 2
Direct
0.0513 0.9487 0.7500
0.3394 0.3460 0.4199
0.3460 0.3394 0.9199
0.6540 0.6606 0.0801
0.6606 0.6540 0.5801
0.9487 0.0513 0.2500
0.1696 0.1758 0.0856
0.1758 0.1696 0.5856
0.8242 0.8304 0.4144
0.8304 0.8242 0.9144
0.4359 0.5641 0.7500
0.5641 0.4359 0.2500
```

## Properties
As for the total energy: -60.9 eV per cell. The space group is No. 15.



No. 2
A plane-wave DFT calculation with GGA-PBE was carried out for Nd3Sb2H2 after structural relaxation.

```
Nd3Sb2H2
1.0
6.6268 0.0000 0.0000
0.0000 7.5121 0.0000
-4.4891 0.0000 7.0482
Nd Sb H
6 4 4
Direct
0.0000 0.0000 0.0000
0.0000 0.5000 0.5000
0.3495 0.0611 0.6954
0.3495 0.4389 0.1954
0.6505 0.5611 0.8046
0.6505 0.9389 0.3046
0.2366 0.7232 0.8787
0.2366 0.7768 0.3787
0.7634 0.2232 0.6213
0.7634 0.2768 0.1213
0.3535 0.1392 0.1704
0.3535 0.3608 0.6704
0.6465 0.6392 0.3296
0.6465 0.8608 0.8296
```

## Properties
As for the energy above the most stable polymorph in this dataset: 0.00 kJ/mol of atoms. The space group is No. 14.



No. 3
A plane-wave DFT calculation with GGA-PBE was carried out for Nd6Sb3H after structural relaxation.

```
Nd6Sb3H
1.0
5.9182 -7.7549 0.0000
5.9182 7.7549 0.0000
0.0000 0.0000 6.5150
Nd Sb H
12 6 2
Direct
0.0802 0.9198 0.5000
0.0959 0.5440 0.7277
0.2663 0.3493 0.1774
0.2752 0.7248 0.2405
0.3493 0.2663 0.6774
0.4560 0.9041 0.7277
0.5440 0.0959 0.2277
0.6507 0.7337 0.1774
0.7248 0.2752 0.7405
0.7337 0.6507 0.6774
0.9041 0.4560 0.2277
0.9198 0.0802 0.0000
0.0300 0.2418 0.5146
0.2418 0.0300 0.0146
0.4120 0.5880 0.8582
0.5880 0.4120 0.3582
0.7582 0.9700 0.5146
0.9700 0.7582 0.0146
0.2265 0.7735 0.5822
0.7735 0.2265 0.0822
```

## Properties
As for the total energy: -102.0 eV per cell. The space group is No. 36.



No. 4
A plane-wave DFT calculation with GGA-PBE was carried out for Nd3Sb3H2 after structural relaxation.

```
Nd3Sb3H2
1.0
2.0831 -5.8986 0.0000
2.0831 5.8986 0.0000
0.0000 0.0000 15.4355
Nd Sb H
6 6 4
Direct
0.1436 0.8564 0.5518
0.1436 0.8564 0.9482
0.1594 0.8406 0.2500
0.8406 0.1594 0.7500
0.8564 0.1436 0.0518
0.8564 0.1436 0.4482
0.1197 0.8803 0.7500
0.4329 0.5671 0.6064
0.4329 0.5671 0.8936
0.5671 0.4329 0.1064
0.5671 0.4329 0.3936
0.8803 0.1197 0.2500
0.2696 0.7304 0.0654
0.2696 0.7304 0.4346
0.7304 0.2696 0.5654
0.7304 0.2696 0.9346
```

## Properties
As for the total energy: -79.0 eV per cell. The space group is No. 63.